1.
First-principles (GGA-PBE) data for a relaxed structure of MnFeCo, as listed in Alexandria via LeMat-Bulk.

Structure (POSCAR):
```
MnFeCo
1.0
-2.249 -0.963 -0.286
0.965 0.227 2.255
-2.433 5.541 0.482
Co Mn Fe
1 1 1
Direct
0.000 0.000 0.998
0.333 0.667 0.666
0.667 0.333 0.336
```

Summary:
Energy relative to the lowest polymorph listed for this composition in meV/atom: 61
Formation energy in meV per atom: 105
Total magnetic moment in μB/cell: 0.4
Density in g/cm3: 8.84
Space group: P3m1, No. 156

=====

2.
First-principles (GGA-PBE) data for a relaxed structure of La3Pr6NdHo2, as listed in Alexandria via LeMat-Bulk.

Structure (POSCAR):
```
La3Pr6NdHo2
1.0
-1.164 2.668 -5.695
0.849 -6.322 0.460
-11.712 -0.235 3.489
Pr La Nd Ho
6 3 1 2
Direct
0.918 0.584 0.755
0.416 0.082 0.245
0.082 0.416 0.245
0.252 0.252 0.755
0.748 0.748 0.245
0.584 0.918 0.755
0.167 0.833 0.500
0.833 0.167 0.500
0.500 0.500 0.500
0.000 0.000 0.000
0.333 0.667 0.000
0.667 0.333 0.000
```

Summary:
Formation energy in meV per atom: 17
Total magnetic moment in μB/cell: 0.0
Density in g/cm3: 6.77
Space group: C2/m, No. 12